Entry from Alexandria via LeMat-Bulk: La2Sm5Y6 after structural relaxation (PBE).

abc: 11.8724 20.6398 3.6209
angles: 90.00 90.00 90.00
Closest atoms and distances in Å follow each position.
Fractional coordinates of all 26 atoms:
La (0.1672, 0.2192, 0.0000)  3 Y 3.48-3.70, 4 Sm 3.58-3.60, 2 La 3.62
La (0.3328, 0.7192, 0.0000)  3 Y 3.48-3.70, 4 Sm 3.58-3.60, 2 La 3.62
La (0.6672, 0.2808, 0.0000)  3 Y 3.48-3.70, 4 Sm 3.58-3.60, 2 La 3.62
La (0.8328, 0.7808, 0.0000)  3 Y 3.48-3.70, 4 Sm 3.58-3.60, 2 La 3.62
Sm (0.0000, 0.5000, 0.5000)  6 Y 3.35-3.47, 4 Sm 3.62-3.69
Sm (0.0932, 0.7802, 0.5000)  5 Y 3.32-3.49, 4 La 3.58-3.60, 2 Sm 3.62
Sm (0.2020, 0.0512, 0.5000)  3 Sm 3.62-3.69, 7 Y 3.62-3.88, 2 La 3.93
Sm (0.2980, 0.5512, 0.5000)  3 Sm 3.62-3.69, 7 Y 3.62-3.88, 2 La 3.93
Sm (0.4068, 0.2802, 0.5000)  5 Y 3.32-3.49, 4 La 3.58-3.60, 2 Sm 3.62
Sm (0.5000, 0.0000, 0.5000)  6 Y 3.35-3.47, 4 Sm 3.62-3.69
Sm (0.5932, 0.7198, 0.5000)  5 Y 3.32-3.49, 4 La 3.58-3.60, 2 Sm 3.62
Sm (0.7020, 0.4488, 0.5000)  3 Sm 3.62-3.69, 7 Y 3.62-3.88, 2 La 3.93
Sm (0.7980, 0.9488, 0.5000)  3 Sm 3.62-3.69, 7 Y 3.62-3.88, 2 La 3.93
Sm (0.9068, 0.2198, 0.5000)  5 Y 3.32-3.49, 4 La 3.58-3.60, 2 Sm 3.62
Y (0.0586, 0.9234, 0.0000)  5 Y 3.46-3.72, 6 Sm 3.49-3.62
Y (0.0773, 0.6362, 0.0000)  6 Sm 3.47-3.64, 1 La 3.48, 4 Y 3.57-3.62
Y (0.1812, 0.3754, 0.5000)  2 Sm 3.32-3.35, 6 Y 3.57-3.72, 2 La 3.70
Y (0.3188, 0.8754, 0.5000)  2 Sm 3.32-3.35, 6 Y 3.57-3.72, 2 La 3.70
Y (0.4227, 0.1362, 0.0000)  6 Sm 3.47-3.64, 1 La 3.48, 4 Y 3.57-3.62
Y (0.4414, 0.4234, 0.0000)  5 Y 3.46-3.72, 6 Sm 3.49-3.62
Y (0.5586, 0.5766, 0.0000)  5 Y 3.46-3.72, 6 Sm 3.49-3.62
Y (0.5773, 0.8638, 0.0000)  6 Sm 3.47-3.64, 1 La 3.48, 4 Y 3.57-3.62
Y (0.6812, 0.1246, 0.5000)  2 Sm 3.32-3.35, 6 Y 3.57-3.72, 2 La 3.70
Y (0.8188, 0.6246, 0.5000)  2 Sm 3.32-3.35, 6 Y 3.57-3.72, 2 La 3.70
Y (0.9227, 0.3638, 0.0000)  6 Sm 3.47-3.64, 1 La 3.48, 4 Y 3.57-3.62
Y (0.9414, 0.0766, 0.0000)  5 Y 3.46-3.72, 6 Sm 3.49-3.62

- symmetry = Pbam
- formation enthalpy at 0 K (kJ per mole of atoms) = 9.2
- crystal system = orthorhombic
- DOS at the Fermi energy (states/eV/cell) = 38.126